## LaDy3ThSc (GGA-PBE)

Data for a relaxed LaDy3ThSc crystal.

a b c (Å): 7.9200 5.0286 10.0106
angles (deg): 90.00 108.94 90.00
Last column: nearest neighbours and their distance in Å.
Positions (direct):
La  0.1770  0.2500  0.2979  3 Sc 3.46-3.50, 8 Dy 3.52-3.67, 1 Th 3.54
La  0.8230  0.7500  0.7021  3 Sc 3.46-3.50, 8 Dy 3.52-3.67, 1 Th 3.54
Dy  0.1781  0.7500  0.0457  1 Sc 3.43, 3 Th 3.49, 3 La 3.56-3.67, 5 Dy 3.58-3.70
Dy  0.1778  0.7500  0.5440  1 Th 3.46, 3 Sc 3.48-3.52, 3 La 3.52-3.65, 5 Dy 3.53-3.66
Dy  0.1791  0.2500  0.7914  1 Sc 3.43, 3 Th 3.47-3.48, 6 Dy 3.53-3.70, 2 La 3.67
Dy  0.8209  0.7500  0.2086  1 Sc 3.43, 3 Th 3.47-3.48, 6 Dy 3.53-3.70, 2 La 3.67
Dy  0.8222  0.2500  0.4560  1 Th 3.46, 3 Sc 3.48-3.52, 3 La 3.52-3.65, 5 Dy 3.53-3.66
Dy  0.8219  0.2500  0.9543  1 Sc 3.43, 3 Th 3.49, 3 La 3.56-3.67, 5 Dy 3.58-3.70
Th  0.4987  0.7500  0.8756  7 Dy 3.46-3.49, 2 Sc 3.53, 2 Th 3.53, 1 La 3.54
Th  0.5013  0.2500  0.1244  7 Dy 3.46-3.49, 2 Sc 3.53, 2 Th 3.53, 1 La 3.54
Sc  0.4987  0.2500  0.6285  5 Dy 3.43-3.52, 3 La 3.46-3.50, 2 Th 3.53, 2 Sc 3.60
Sc  0.5013  0.7500  0.3715  5 Dy 3.43-3.52, 3 La 3.46-3.50, 2 Th 3.53, 2 Sc 3.60

**Total magnetization**: 0.00 μB per formula unit
**E_form**: 0.051 eV per atom

=====

## LaDyThSc (GGA-PBE)

Data for a relaxed LaDyThSc crystal.

a b c (Å): 3.5892 3.5892 9.6813
angles (deg): 90.00 90.00 90.00
Last column: nearest neighbours and their distance in Å.
Positions (direct):
La  0.0000  0.0000  0.0000  4 Sc 3.50, 4 La 3.59, 4 Dy 3.68
Dy  0.5000  0.5000  0.7255  4 Th 3.49, 4 Dy 3.59, 4 La 3.68
Th  0.0000  0.0000  0.4773  4 Sc 3.36, 4 Dy 3.49, 4 Th 3.59
Sc  0.5000  0.5000  0.2492  4 Th 3.36, 4 La 3.50, 4 Sc 3.59

**Total magnetization**: 0.00 μB per formula unit
**E_form**: 0.022 eV per atom
**E above lowest polymorph**: 0.00 eV per formula unit

=====

## La2DyScTl2 (GGA-PBE)

Data for a relaxed La2DyScTl2 crystal.

a b c (Å): 4.9906 10.0534 7.0309
angles (deg): 90.00 90.00 90.00
Last column: nearest neighbours and their distance in Å.
Positions (direct):
La  0.0000  0.0635  0.0000  2 La 3.19, 3 Tl 3.37-3.53
La  0.0000  0.9365  0.5000  2 La 3.19, 3 Tl 3.37-3.53
La  0.5000  0.1755  0.2333  2 La 3.19, 4 Tl 3.35-3.39
La  0.5000  0.8245  0.7333  2 La 3.19, 4 Tl 3.35-3.39
Dy  0.5000  0.4573  0.8855  5 Tl 3.20-3.31
Dy  0.5000  0.5427  0.3855  5 Tl 3.20-3.31
Sc  0.0000  0.3066  0.5831  4 Tl 3.02-3.13
Sc  0.0000  0.6934  0.0831  4 Tl 3.02-3.13
Tl  0.0000  0.3972  0.1568  2 Sc 3.02-3.13, 4 Dy 3.20-3.31
Tl  0.0000  0.6028  0.6568  2 Sc 3.02-3.13, 4 Dy 3.20-3.31
Tl  0.5000  0.1602  0.7087  2 Sc 3.03, 1 Dy 3.24, 4 La 3.35-3.38
Tl  0.5000  0.8398  0.2087  2 Sc 3.03, 1 Dy 3.24, 4 La 3.35-3.38

**Total magnetization**: 0.00 μB per formula unit
**E_form**: -0.273 eV per atom

=====

## LaDy2ScTl4 (GGA-PBE)

Data for a relaxed LaDy2ScTl4 crystal.

a b c (Å): 9.3980 9.3980 9.3980
angles (deg): 33.16 33.16 33.16
Last column: nearest neighbours and their distance in Å.
Positions (direct):
La  0.0000  0.0000  0.0000  8 Tl 3.33-3.42
Dy  0.2479  0.2479  0.2479  8 Tl 3.18-3.50
Dy  0.7521  0.7521  0.7521  8 Tl 3.18-3.50
Sc  0.5000  0.5000  0.5000  8 Tl 3.21-3.26
Tl  0.1284  0.1284  0.1284  4 Dy 3.18-3.30, 3 Sc 3.26, 1 La 3.42
Tl  0.3795  0.3795  0.3795  1 Sc 3.21, 4 Dy 3.27-3.50, 3 La 3.33
Tl  0.6205  0.6205  0.6205  1 Sc 3.21, 4 Dy 3.27-3.50, 3 La 3.33
Tl  0.8716  0.8716  0.8716  4 Dy 3.18-3.30, 3 Sc 3.26, 1 La 3.42

**Total magnetization**: 0.00 μB per formula unit
**E_form**: -0.318 eV per atom

=====

## LaDySc2Tl4 (GGA-PBE)

Data for a relaxed LaDySc2Tl4 crystal.

a b c (Å): 9.2445 9.2445 9.2445
angles (deg): 33.37 33.37 33.37
Last column: nearest neighbours and their distance in Å.
Positions (direct):
La  0.0000  0.0000  0.0000  8 Tl 3.28-3.34
Dy  0.5000  0.5000  0.5000  8 Tl 3.19-3.23
Sc  0.2493  0.2493  0.2493  8 Tl 3.19-3.37
Sc  0.7507  0.7507  0.7507  8 Tl 3.19-3.37
Tl  0.1275  0.1275  0.1275  4 Sc 3.19-3.27, 3 Dy 3.23, 1 La 3.34
Tl  0.3780  0.3780  0.3780  1 Dy 3.19, 4 Sc 3.23-3.37, 3 La 3.28
Tl  0.6220  0.6220  0.6220  1 Dy 3.19, 4 Sc 3.23-3.37, 3 La 3.28
Tl  0.8725  0.8725  0.8725  4 Sc 3.19-3.27, 3 Dy 3.23, 1 La 3.34

**Total magnetization**: 0.00 μB per formula unit
**E_form**: -0.301 eV per atom

=====

## LaDyScTl (GGA-PBE)

Data for a relaxed LaDyScTl crystal.

a b c (Å): 5.4784 5.4784 5.4784
angles (deg): 60.00 60.00 60.00
Last column: nearest neighbours and their distance in Å.
Positions (direct):
La  0.0000  0.0000  0.0000  4 Tl 3.35, 4 Sc 3.35
Dy  0.5000  0.5000  0.5000  4 Sc 3.35, 4 Tl 3.35
Sc  0.7500  0.7500  0.7500  4 Dy 3.35, 4 La 3.35
Tl  0.2500  0.2500  0.2500  4 Dy 3.35, 4 La 3.35

**Total magnetization**: 1.27 μB per formula unit
**E_form**: -0.082 eV per atom

=====

## LaDy2TmSc (GGA-PBE)

Data for a relaxed LaDy2TmSc crystal.

a b c (Å): 3.5700 5.4496 8.3448
angles (deg): 90.00 90.00 90.00
Last column: nearest neighbours and their distance in Å.
Positions (direct):
La  0.0000  0.0000  0.0000  4 Sc 3.26, 2 La 3.57
Dy  0.0000  0.5000  0.3148  1 Dy 3.09, 2 Sc 3.18
Dy  0.0000  0.5000  0.6852  1 Dy 3.09, 2 Sc 3.18
Tm  0.5000  0.0000  0.5000  2 Tm 3.57, 8 Dy 3.61
Sc  0.5000  0.5000  0.0000  4 Dy 3.18, 4 La 3.26

**Total magnetization**: 0.00 μB per formula unit
**E_form**: 0.214 eV per atom

=====

## La2Dy4TmSc (GGA-PBE)

Data for a relaxed La2Dy4TmSc crystal.

a b c (Å): 9.1509 9.1509 6.7756
angles (deg): 107.14 107.14 86.89
Last column: nearest neighbours and their distance in Å.
Positions (direct):
La  0.0000  0.0000  0.0000  4 Dy 3.29-3.32, 2 La 3.39
La  0.0000  0.0000  0.5000  4 Dy 3.29-3.32, 2 La 3.39
La  0.0000  0.5000  0.0000  6 Dy 3.38-3.63, 2 Tm 3.39
La  0.5000  0.0000  0.5000  6 Dy 3.38-3.63, 2 Tm 3.39
Dy  0.2573  0.7348  0.5006  1 Sc 3.00, 1 Tm 3.27, 1 La 3.29, 1 Dy 3.34
Dy  0.2629  0.2817  0.6698  1 Sc 2.95, 1 Tm 3.21
Dy  0.2652  0.7427  0.9994  1 Sc 3.00, 1 Tm 3.27, 1 La 3.29, 1 Dy 3.34
Dy  0.2817  0.2629  0.1698  1 Sc 2.95, 1 Tm 3.21
Dy  0.7183  0.7371  0.8302  1 Sc 2.95, 1 Tm 3.21
Dy  0.7348  0.2573  0.0006  1 Sc 3.00, 1 Tm 3.27, 1 La 3.29, 1 Dy 3.34
Dy  0.7371  0.7183  0.3302  1 Sc 2.95, 1 Tm 3.21
Dy  0.7427  0.2652  0.4994  1 Sc 3.00, 1 Tm 3.27, 1 La 3.29, 1 Dy 3.34
Tm  0.0000  0.5000  0.5000  4 Dy 3.21-3.27, 2 La 3.39
Tm  0.5000  0.0000  0.0000  4 Dy 3.21-3.27, 2 La 3.39
Sc  0.5000  0.5000  0.0000  4 Dy 2.95-3.00
Sc  0.5000  0.5000  0.5000  4 Dy 2.95-3.00

**Total magnetization**: 0.00 μB per formula unit
**E_form**: 0.412 eV per atom

=====

- What is the formula in the sixth record?
  LaDyScTl

=====

- Which formula does entry 5 have?
  LaDySc2Tl4